Entry from the Alexandria database: a relaxed structure of AgPtI6 (PBE).

Cell lengths 10.384, 7.941, 7.752 Å; angles 68.45, 55.81, 49.17 degrees
Element x y z (fractional)
Ag (0.000, 0.000, 0.500)
Pt (0.000, 0.000, 0.000)
I (0.384, 0.000, 0.209)
I (0.906, 0.306, 0.726)
I (0.616, 0.000, 0.791)
I (0.788, 0.306, 0.274)
I (0.094, 0.694, 0.274)
I (0.212, 0.694, 0.726)

Results
formation energy without anion corrections: -5 kJ/mol of atoms
SG: No. 12
ρ: 4.42 g cm⁻³
electronic total energy: -18.63 eV for the cell shown
DOS at the Fermi energy: 0.738 states/eV/atom

Entry from the Alexandria database: a relaxed structure of KBF4 (PBE).

Cell lengths 6.943, 7.161, 7.428 Å; angles 90.00, 90.00, 102.47 degrees
Element x y z (fractional)
K (0.406, 0.220, 0.838)
K (0.094, 0.280, 0.338)
K (0.906, 0.720, 0.662)
K (0.594, 0.780, 0.162)
B (0.899, 0.192, 0.831)
B (0.601, 0.308, 0.331)
B (0.399, 0.692, 0.669)
B (0.101, 0.808, 0.169)
F (0.744, 0.039, 0.886)
F (0.000, 0.129, 0.683)
F (0.684, 0.152, 0.279)
F (0.465, 0.251, 0.473)
F (0.816, 0.348, 0.779)
F (0.035, 0.249, 0.973)
F (0.500, 0.371, 0.183)
F (0.756, 0.461, 0.386)
F (0.244, 0.539, 0.614)
F (0.500, 0.629, 0.817)
F (0.965, 0.751, 0.027)
F (0.184, 0.652, 0.221)
F (0.535, 0.749, 0.527)
F (0.316, 0.848, 0.721)
F (0.000, 0.871, 0.317)
F (0.256, 0.961, 0.114)

Results
formation energy without anion corrections: -291 kJ/mol of atoms
SG: No. 14
ρ: 2.32 g cm⁻³
electronic total energy: -133.54 eV for the cell shown
DOS at the Fermi energy: 0.000 states/eV/atom

Entry from the Alexandria database: a relaxed structure of Y2BrCl (PBE).

Cell lengths 6.021, 6.021, 6.021 Å; angles 146.43, 114.81, 75.35 degrees
Element x y z (fractional)
Y (0.987, 0.987, 0.000)
Y (0.513, 0.513, 0.000)
Br (0.250, 0.750, 0.500)
Cl (0.750, 0.250, 0.500)

Results
formation energy without anion corrections: -102 kJ/mol of atoms
SG: No. 71
ρ: 4.53 g cm⁻³
energy above the most stable polymorph in this dataset: 229 meV/atom
electronic total energy: -20.67 eV for the cell shown
DOS at the Fermi energy: 0.638 states/eV/atom